[1]
InFeAgIr | PBE | optimized geometry

Cell: 6.3780 6.3780 6.3780 Å, 90.00 90.00 90.00°
Sites, in units of the cell vectors:
In1 0.0000 0.0000 0.0000
In2 0.0000 0.5000 0.5000
In3 0.5000 0.0000 0.5000
In4 0.5000 0.5000 0.0000
Fe1 0.2500 0.2500 0.2500
Fe2 0.2500 0.7500 0.7500
Fe3 0.7500 0.2500 0.7500
Fe4 0.7500 0.7500 0.2500
Ag1 0.2500 0.2500 0.7500
Ag2 0.2500 0.7500 0.2500
Ag3 0.7500 0.2500 0.2500
Ag4 0.7500 0.7500 0.7500
Ir1 0.0000 0.0000 0.5000
Ir2 0.0000 0.5000 0.0000
Ir3 0.5000 0.0000 0.0000
Ir4 0.5000 0.5000 0.5000

Calculated values
Energy above the most stable polymorph in this dataset = 0.0 meV per atom

***

[2]
Hf3CoP | PBE | optimized geometry

Cell: 5.9872 5.9872 9.3588 Å, 90.00 90.00 146.60°
Sites, in units of the cell vectors:
Hf1 0.0823 0.9177 0.7500
Hf2 0.3488 0.6512 0.5782
Hf3 0.3488 0.6512 0.9218
Hf4 0.6512 0.3488 0.0782
Hf5 0.6512 0.3488 0.4218
Hf6 0.9177 0.0823 0.2500
Co1 0.2515 0.7485 0.2500
Co2 0.7485 0.2515 0.7500
P1 0.0000 0.0000 0.0000
P2 0.0000 0.0000 0.5000

Calculated values
E_tot = -45.7 eV per formula unit

***

[3]
Th6Cd7 | PBE | optimized geometry

Cell: 9.8864 11.6460 6.0151 Å, 90.00 90.00 90.00°
Sites, in units of the cell vectors:
Th1 0.0507 0.1262 0.0000
Th2 0.1554 0.9566 0.5000
Th3 0.1689 0.4137 0.0000
Th4 0.3311 0.9137 0.0000
Th5 0.3446 0.4566 0.5000
Th6 0.4493 0.6262 0.0000
Th7 0.5507 0.3738 0.0000
Th8 0.6554 0.5434 0.5000
Th9 0.6689 0.0863 0.0000
Th10 0.8311 0.5863 0.0000
Th11 0.8446 0.0434 0.5000
Th12 0.9493 0.8738 0.0000
Cd1 0.0000 0.5000 0.5000
Cd2 0.0980 0.2527 0.5000
Cd3 0.1537 0.6804 0.2443
Cd4 0.1537 0.6804 0.7557
Cd5 0.3463 0.1804 0.2443
Cd6 0.3463 0.1804 0.7557
Cd7 0.4020 0.7527 0.5000
Cd8 0.5000 0.0000 0.5000
Cd9 0.5980 0.2473 0.5000
Cd10 0.6537 0.8196 0.2443
Cd11 0.6537 0.8196 0.7557
Cd12 0.8463 0.3196 0.2443
Cd13 0.8463 0.3196 0.7557
Cd14 0.9020 0.7473 0.5000

Calculated values
DFT formation energy = -0.145 eV/atom

***

[4]
Dy2Er3Lu2Te2Pd2 | PBE | optimized geometry

Cell: 9.3421 9.3421 9.3421 Å, 155.73 66.98 118.64°
Sites, in units of the cell vectors:
Dy1 0.1439 0.0000 0.1439
Dy2 0.8561 0.0000 0.8561
Er1 0.4562 0.6381 0.8181
Er2 0.7631 0.2631 0.5000
Er3 0.8200 0.6381 0.1819
Lu1 0.2174 0.8481 0.3694
Lu2 0.4787 0.8481 0.6306
Te1 0.1055 0.6055 0.5000
Te2 0.4958 0.4958 0.0000
Pd1 0.0716 0.3322 0.7394
Pd2 0.5928 0.3322 0.2606

Calculated values
Energy above the most stable polymorph in this dataset = 8.7 meV per atom